Entry from Alexandria via LeMat-Bulk: crystalline NiIr2Ru at its relaxed geometry (PBE).

Output
- Distance to the lowest polymorph of the same formula: 7 meV per atom
- Calculated density: 16.68 g/cm3
- Formation energy: -0.003 eV per atom
- Total moment: 0.001 μB/atom
- VASP energy: -8.198 eV per atom
- D(E_F): 5.1 states/eV/f.u.

a b c (Å): 2.710 2.710 7.376
angles (deg): 90.00 90.00 90.00
Element x y z (fractional)
Ru 0.500 0.500 0.750
Ir 0.000 0.000 0.006
Ir 0.000 0.000 0.494
Ni 0.500 0.500 0.250